1.
VASP calculation (GGA-PBE) on a relaxed ErGa5 crystal.

For the theoretical density, the calculation gives 7.220 g/cm3. As for the energy relative to the elements: -0.17 eV/atom. The value obtained for the relative energy among the computed polymorphs is 0.108 eV/atom.

It has space group P-62m (No. 189), with a = 5.6153 Å, b = 5.6153 Å, c = 4.3450 Å, α = 90.00°, β = 90.00° and γ = 120.00°. The asymmetric unit holds Er at (0.0000, 0.0000, 0.0000), Ga at (0.0000, 0.6155, 0.5000) and Ga at (0.3333, 0.6667, 0.0000).


2.
VASP calculation (GGA-PBE) on a relaxed Er5Ga crystal.

For the theoretical density, the calculation gives 9.128 g/cm3. As for the energy relative to the elements: -0.13 eV/atom.

It has space group Cmmm (No. 65), with a = 4.7191 Å, b = 14.6818 Å, c = 4.7576 Å, α = 90.00°, β = 90.00° and γ = 90.00°. The asymmetric unit holds Er at (0.0000, 0.0000, 0.0000), Er at (0.0000, 0.1592, 0.5000), Er at (0.0000, 0.3339, 0.0000) and Ga at (0.0000, 0.5000, 0.5000).


3.
VASP calculation (GGA-PBE) on a relaxed Er5Ga3 crystal.

For the theoretical density, the calculation gives 8.555 g/cm3. As for the energy relative to the elements: -0.48 eV/atom. The value obtained for the relative energy among the computed polymorphs is 0.017 eV/atom.

It has space group P6_3/mcm (No. 193), with a = 8.5315 Å, b = 8.5315 Å, c = 6.4383 Å, α = 90.00°, β = 90.00° and γ = 120.00°. The asymmetric unit holds Er at (0.0000, 0.2433, 0.2500), Er at (0.3333, 0.6667, 0.0000) and Ga at (0.0000, 0.4010, 0.7500).